# TaWC | Alexandria via LeMat-Bulk | PBE | optimized geometry
data_TaWC
_chemical_formula_sum 'Ta4 W4 C4'
_cell_length_a 5.4713
_cell_length_b 5.4713
_cell_length_c 5.4713
_cell_angle_alpha 90.00
_cell_angle_beta 90.00
_cell_angle_gamma 90.00
_symmetry_space_group_name_H-M 'F -4 3 m'
_symmetry_Int_Tables_number 216
_symmetry_space_group_name_Hall 'F -4 2 3'
loop_
_atom_site_label
_atom_site_fract_x
_atom_site_fract_y
_atom_site_fract_z
Ta1 0.0000 0.0000 0.0000
W1 0.0000 0.0000 0.5000
C1 0.2500 0.2500 0.7500
# DOS(E_F) ... 1.04 states/eV/atom
# Magnetization ... 0.0 μB/f.u.
# Volume ... 164 Å³/cell
# E above lowest polymorph ... 302 kJ/mol of formula units
# Energy relative to the elements ... 0.72 eV/atom


# Tm2ThTl2Zn2 | Alexandria via LeMat-Bulk | PBE | optimized geometry
data_Tm2ThTl2Zn2
_chemical_formula_sum 'Tm6 Th3 Tl6 Zn6'
_cell_length_a 4.8174
_cell_length_b 4.8174
_cell_length_c 26.3191
_cell_angle_alpha 90.00
_cell_angle_beta 90.00
_cell_angle_gamma 120.00
_symmetry_space_group_name_H-M 'R -3 m'
_symmetry_Int_Tables_number 166
_symmetry_space_group_name_Hall '-R 3 2"'
loop_
_atom_site_label
_atom_site_fract_x
_atom_site_fract_y
_atom_site_fract_z
Tm1 0.0000 0.0000 0.1317
Th1 0.0000 0.0000 0.0000
Tl1 0.0000 0.0000 0.2653
Zn1 0.0000 0.0000 0.4285
# DOS(E_F) ... 0.87 states/eV/atom
# Magnetization ... 0.0 μB/f.u.
# Volume ... 529 Å³/cell
# Energy relative to the elements ... -0.06 eV/atom